{
  "formula": "CeSe2",
  "functional": "PBE",
  "state": "optimized geometry",
  "lattice": [[4.798, 0.000, 0.000], [-2.399, 4.156, 0.000], [0.000, 0.000, 3.590]],
  "species": ["Se", "Ce", "Se"],
  "frac_coords": [[0.667, 0.333, 0.500], [0.000, 0.000, 0.000], [0.333, 0.667, 0.500]],
  "total_energy_ev_per_cell": -16.0,
  "raw_formation_energy_ev_per_atom": -1.03,
  "volume_a3_per_atom": 23.9
}